Record 1
This record from Alexandria describes a geometry-optimized InPRu structure. The functional is PBE-GGA.

Cell lengths 3.1469, 5.7312, 6.6927 Å; angles 90.00, 90.00, 90.00 degrees
With the nearest neighbours (Å) after each atom.
Element x y z (fractional)
In1 0.0000 0.5263 0.2111  3 Ru 2.70-2.78
In2 0.5000 0.4737 0.7111  3 Ru 2.70-2.78
Ru1 0.0000 0.1765 0.9403  3 P 2.26-2.28
Ru2 0.5000 0.8235 0.4403  3 P 2.26-2.28
P1 0.5000 0.0312 0.1492  3 Ru 2.26-2.28
P2 0.0000 0.9688 0.6492  3 Ru 2.26-2.28

## Properties
Final energy   -36.4 eV/cell
Fermi-level density of states   0.0582 states/eV/atom
Calculated volume   20.1 A^3/atom
ΔE_f   -0.2527 eV/atom
Magnetic moment   0.00 μB/f.u.

---

Record 2
This record from Alexandria describes a geometry-optimized In2PRu structure. The functional is PBE-GGA.

Cell lengths 3.0282, 3.0282, 8.3974 Å; angles 90.00, 90.00, 90.00 degrees
With the nearest neighbours (Å) after each atom.
Element x y z (fractional)
In1 0.5000 0.5000 0.2831  4 In 3.03, 4 P 3.19
In2 0.0000 0.0000 0.9517  4 Ru 3.01, 4 In 3.03, 1 P 3.25
Ru1 0.5000 0.5000 0.7001  4 P 2.42
P1 0.0000 0.0000 0.5650  4 Ru 2.42

## Properties
Final energy   -20.6 eV/cell
Fermi-level density of states   0.3219 states/eV/atom
Calculated volume   19.3 A^3/atom
ΔE_f   -0.1096 eV/atom
Magnetic moment   0.00 μB/f.u.

---

Record 3
This record from Alexandria describes a geometry-optimized InPRu2 structure. The functional is PBE-GGA.

Cell lengths 5.1686, 5.1686, 5.1686 Å; angles 137.75, 137.75, 61.29 degrees
With the nearest neighbours (Å) after each atom.
Element x y z (fractional)
P1 0.7500 0.2500 0.5000  8 Ru 2.63-2.90, 4 In 2.90
In1 0.5000 0.5000 0.0000  8 Ru 2.63-2.90, 4 P 2.90
Ru1 0.0000 0.0000 0.0000  4 In 2.63, 4 Ru 2.90, 4 P 2.90
Ru2 0.2500 0.7500 0.5000  4 P 2.63, 4 In 2.90, 4 Ru 2.90

## Properties
Final energy   -25.2 eV/cell
Fermi-level density of states   1.4585 states/eV/atom
Calculated volume   15.4 A^3/atom
ΔE_f   0.3664 eV/atom
Magnetic moment   0.00 μB/f.u.

---

Record 4
This record from Alexandria describes a geometry-optimized InPRu structure. The functional is PBE-GGA.

Cell lengths 3.0271, 11.9997, 5.6571 Å; angles 90.00, 90.00, 90.00 degrees
With the nearest neighbours (Å) after each atom.
Element x y z (fractional)
In1 0.0000 0.2065 0.5079  1 P 2.64, 3 Ru 2.83-2.86
In2 0.0000 0.7935 0.0079  1 P 2.64, 3 Ru 2.83-2.86
In3 0.5000 0.7065 0.5079  1 P 2.64, 3 Ru 2.83-2.86
In4 0.5000 0.2935 0.0079  1 P 2.64, 3 Ru 2.83-2.86
Ru1 0.5000 0.9281 0.3205  4 P 2.42
Ru2 0.5000 0.0719 0.8205  4 P 2.42
Ru3 0.0000 0.4281 0.3205  4 P 2.42
Ru4 0.0000 0.5719 0.8205  4 P 2.42
P1 0.5000 0.4363 0.6529  4 Ru 2.42, 1 In 2.64
P2 0.0000 0.0637 0.1529  4 Ru 2.42, 1 In 2.64
P3 0.0000 0.9363 0.6529  4 Ru 2.42, 1 In 2.64
P4 0.5000 0.5637 0.1529  4 Ru 2.42, 1 In 2.64

## Properties
Final energy   -72.6 eV/cell
Fermi-level density of states   0.2556 states/eV/atom
Calculated volume   17.1 A^3/atom
ΔE_f   -0.2406 eV/atom
Magnetic moment   0.00 μB/f.u.

---

Record 5
This record from Alexandria describes a geometry-optimized InPRu structure. The functional is PBE-GGA.

Cell lengths 2.9666, 3.0438, 5.9025 Å; angles 90.00, 90.00, 90.00 degrees
With the nearest neighbours (Å) after each atom.
Element x y z (fractional)
In1 0.0000 0.0000 0.0013  2 Ru 2.81, 2 P 2.86, 4 In 2.97-3.04
P1 0.0000 0.5000 0.5919  4 Ru 2.39
Ru1 0.5000 0.0000 0.4054  4 P 2.39

## Properties
Final energy   -17.9 eV/cell
Fermi-level density of states   0.2307 states/eV/atom
Calculated volume   17.8 A^3/atom
ΔE_f   -0.1624 eV/atom
Magnetic moment   0.00 μB/f.u.

---

Record 6
This record from Alexandria describes a geometry-optimized In2PRu structure. The functional is PBE-GGA.

Cell lengths 4.7017, 4.7017, 4.7017 Å; angles 60.00, 60.00, 60.00 degrees
With the nearest neighbours (Å) after each atom.
Element x y z (fractional)
In1 0.0000 0.0000 0.0000  4 In 2.88, 4 Ru 2.88
In2 0.7500 0.7500 0.7500  4 In 2.88, 4 P 2.88
P1 0.5000 0.5000 0.5000  4 In 2.88, 4 Ru 2.88
Ru1 0.2500 0.2500 0.2500  4 In 2.88, 4 P 2.88

## Properties
Final energy   -18.2 eV/cell
Fermi-level density of states   1.2390 states/eV/atom
Calculated volume   18.4 A^3/atom
ΔE_f   0.4930 eV/atom
Magnetic moment   0.00 μB/f.u.

---

Question: The highest final energy belongs to which entry?
Answer: number 5

---

Question: What is the magnetic moment in the fourth record?
Answer: 0.00 μB/f.u.